Entry 1:
# PBE NbTe, optimized geometry
# crystal system	orthorhombic
# VASP energy	-6.745	eV per atom
data_NbTe
_cell_length_a 5.4197
_cell_length_b 4.7649
_cell_length_c 3.6205
_cell_angle_alpha 90.00
_cell_angle_beta 109.53
_cell_angle_gamma 90.00
_space_group_name_H-M_alt 'P 1'
_space_group_IT_number 1
loop_
_space_group_symop_operation_xyz
'x,y,z'
loop_
_atom_site_label
_atom_site_fract_x
_atom_site_fract_y
_atom_site_fract_z
Nb1 0.6558 0.7500 0.5781
Nb2 0.3442 0.2500 0.4219
Te1 0.7728 0.2500 0.1367
Te2 0.2272 0.7500 0.8633

=====

Entry 2:
# PBE NbTe, optimized geometry
# crystal system	hexagonal
# VASP energy	-6.472	eV per atom
data_NbTe
_cell_length_a 3.4219
_cell_length_b 3.4219
_cell_length_c 9.4525
_cell_angle_alpha 90.00
_cell_angle_beta 90.00
_cell_angle_gamma 120.00
_space_group_name_H-M_alt 'P 1'
_space_group_IT_number 1
loop_
_space_group_symop_operation_xyz
'x,y,z'
loop_
_atom_site_label
_atom_site_fract_x
_atom_site_fract_y
_atom_site_fract_z
Te1 0.6667 0.3333 0.1899
Te2 0.3333 0.6667 0.6899
Nb1 0.6667 0.3333 0.8921
Nb2 0.3333 0.6667 0.3921

=====

Entry 3:
# PBE NbTe, optimized geometry
# crystal system	cubic
# VASP energy	-6.657	eV per atom
data_NbTe
_cell_length_a 8.6366
_cell_length_b 8.6366
_cell_length_c 8.6366
_cell_angle_alpha 90.00
_cell_angle_beta 90.00
_cell_angle_gamma 90.00
_space_group_name_H-M_alt 'P 1'
_space_group_IT_number 1
loop_
_space_group_symop_operation_xyz
'x,y,z'
loop_
_atom_site_label
_atom_site_fract_x
_atom_site_fract_y
_atom_site_fract_z
Te1 0.3065 0.3065 0.3065
Te2 0.8065 0.8065 0.8065
Te3 0.1935 0.8065 0.1935
Te4 0.1935 0.1935 0.8065
Te5 0.6935 0.6935 0.3065
Te6 0.3065 0.6935 0.6935
Te7 0.6935 0.3065 0.6935
Te8 0.8065 0.1935 0.1935
Nb1 0.8895 0.1105 0.8895
Nb2 0.3895 0.6105 0.3895
Nb3 0.8895 0.8895 0.1105
Nb4 0.1105 0.8895 0.8895
Nb5 0.3895 0.3895 0.6105
Nb6 0.1105 0.1105 0.1105
Nb7 0.6105 0.6105 0.6105
Nb8 0.6105 0.3895 0.3895

=====

Entry 4:
# PBE NbTe, optimized geometry
# crystal system	tetragonal
# VASP energy	-6.591	eV per atom
data_NbTe
_cell_length_a 11.9437
_cell_length_b 11.9437
_cell_length_c 3.6544
_cell_angle_alpha 90.00
_cell_angle_beta 90.00
_cell_angle_gamma 90.00
_space_group_name_H-M_alt 'P 1'
_space_group_IT_number 1
loop_
_space_group_symop_operation_xyz
'x,y,z'
loop_
_atom_site_label
_atom_site_fract_x
_atom_site_fract_y
_atom_site_fract_z
Nb1 0.1717 0.7145 0.5000
Nb2 0.3283 0.7855 0.0000
Nb3 0.2145 0.3283 0.0000
Nb4 0.7855 0.6717 0.0000
Nb5 0.6717 0.2145 0.0000
Nb6 0.7145 0.8283 0.5000
Nb7 0.2855 0.1717 0.5000
Nb8 0.8283 0.2855 0.5000
Te1 0.2433 0.9382 0.5000
Te2 0.0618 0.2433 0.5000
Te3 0.9382 0.7567 0.5000
Te4 0.4382 0.2567 0.0000
Te5 0.7567 0.0618 0.5000
Te6 0.2567 0.5618 0.0000
Te7 0.7433 0.4382 0.0000
Te8 0.5618 0.7433 0.0000

=====

Entry 5:
# PBE NbTe, optimized geometry
# crystal system	cubic
# VASP energy	-5.941	eV per atom
data_NbTe
_cell_length_a 7.7870
_cell_length_b 7.7870
_cell_length_c 7.7870
_cell_angle_alpha 90.00
_cell_angle_beta 90.00
_cell_angle_gamma 90.00
_space_group_name_H-M_alt 'P 1'
_space_group_IT_number 1
loop_
_space_group_symop_operation_xyz
'x,y,z'
loop_
_atom_site_label
_atom_site_fract_x
_atom_site_fract_y
_atom_site_fract_z
Nb1 0.5000 0.7500 0.0000
Nb2 0.0000 0.5000 0.7500
Nb3 0.5000 0.2500 0.0000
Nb4 0.7500 0.0000 0.5000
Nb5 0.0000 0.5000 0.2500
Nb6 0.2500 0.0000 0.5000
Te1 0.2500 0.5000 0.0000
Te2 0.7500 0.5000 0.0000
Te3 0.0000 0.2500 0.5000
Te4 0.0000 0.7500 0.5000
Te5 0.5000 0.0000 0.7500
Te6 0.5000 0.0000 0.2500

=====

Entry 6:
# PBE NbTe, optimized geometry
# crystal system	hexagonal
# VASP energy	-6.758	eV per atom
data_NbTe
_cell_length_a 3.6852
_cell_length_b 3.6852
_cell_length_c 3.7065
_cell_angle_alpha 90.00
_cell_angle_beta 90.00
_cell_angle_gamma 120.00
_space_group_name_H-M_alt 'P 1'
_space_group_IT_number 1
loop_
_space_group_symop_operation_xyz
'x,y,z'
loop_
_atom_site_label
_atom_site_fract_x
_atom_site_fract_y
_atom_site_fract_z
Te1 0.6667 0.3333 0.0000
Nb1 0.0000 0.0000 0.5000

=====

Entry 7:
# PBE NbTe, optimized geometry
# crystal system	tetragonal
# VASP energy	-6.657	eV per atom
data_NbTe
_cell_length_a 12.0734
_cell_length_b 12.0734
_cell_length_c 3.6888
_cell_angle_alpha 90.00
_cell_angle_beta 90.00
_cell_angle_gamma 90.00
_space_group_name_H-M_alt 'P 1'
_space_group_IT_number 1
loop_
_space_group_symop_operation_xyz
'x,y,z'
loop_
_atom_site_label
_atom_site_fract_x
_atom_site_fract_y
_atom_site_fract_z
Nb1 0.2005 0.3713 0.5000
Nb2 0.4734 0.1210 0.0000
Nb3 0.5266 0.8790 0.0000
Nb4 0.7995 0.6287 0.5000
Nb5 0.8790 0.4734 0.0000
Nb6 0.3713 0.7995 0.5000
Nb7 0.6287 0.2005 0.5000
Nb8 0.1210 0.5266 0.0000
Te1 0.9573 0.6980 0.0000
Te2 0.0427 0.3020 0.0000
Te3 0.5856 0.7169 0.5000
Te4 0.4144 0.2831 0.5000
Te5 0.6980 0.0427 0.0000
Te6 0.2831 0.5856 0.5000
Te7 0.3020 0.9573 0.0000
Te8 0.7169 0.4144 0.5000

=====

Entry 8:
# PBE NbTe, optimized geometry
# crystal system	orthorhombic
# VASP energy	-6.637	eV per atom
data_NbTe
_cell_length_a 9.9570
_cell_length_b 9.8297
_cell_length_c 8.5781
_cell_angle_alpha 90.00
_cell_angle_beta 90.00
_cell_angle_gamma 90.00
_space_group_name_H-M_alt 'P 1'
_space_group_IT_number 1
loop_
_space_group_symop_operation_xyz
'x,y,z'
loop_
_atom_site_label
_atom_site_fract_x
_atom_site_fract_y
_atom_site_fract_z
Te1 0.0000 0.5000 0.7106
Te2 0.2500 0.7500 0.4606
Te3 0.2500 0.2500 0.5394
Te4 0.7500 0.7500 0.5394
Te5 0.2500 0.2500 0.9606
Te6 0.5000 0.5000 0.7894
Te7 0.5000 0.0000 0.7106
Te8 0.7500 0.2500 0.0394
Te9 0.2500 0.7500 0.0394
Te10 0.7500 0.7500 0.9606
Te11 0.0000 0.0000 0.2106
Te12 0.0000 0.5000 0.2894
Te13 0.0000 0.0000 0.7894
Te14 0.7500 0.2500 0.4606
Te15 0.5000 0.0000 0.2894
Te16 0.5000 0.5000 0.2106
Nb1 0.5000 0.6337 0.5000
Nb2 0.2500 0.8837 0.7500
Nb3 0.2500 0.6163 0.7500
Nb4 0.7500 0.8837 0.2500
Nb5 0.7500 0.6163 0.2500
Nb6 0.7500 0.3837 0.7500
Nb7 0.5000 0.3663 0.5000
Nb8 0.7500 0.1163 0.7500
Nb9 0.0000 0.6337 0.0000
Nb10 0.2500 0.1163 0.2500
Nb11 0.0000 0.8663 0.5000
Nb12 0.0000 0.1337 0.5000
Nb13 0.5000 0.8663 0.0000
Nb14 0.5000 0.1337 0.0000
Nb15 0.2500 0.3837 0.2500
Nb16 0.0000 0.3663 0.0000

=====

Entry 9:
# PBE ThNbTe3, optimized geometry
# crystal system	monoclinic
# VASP energy	-6.232	eV per atom
data_ThNbTe3
_cell_length_a 3.9514
_cell_length_b 8.0547
_cell_length_c 9.5041
_cell_angle_alpha 95.32
_cell_angle_beta 101.98
_cell_angle_gamma 104.19
_space_group_name_H-M_alt 'P 1'
_space_group_IT_number 1
loop_
_space_group_symop_operation_xyz
'x,y,z'
loop_
_atom_site_label
_atom_site_fract_x
_atom_site_fract_y
_atom_site_fract_z
Th1 0.9182 0.0276 0.8918
Th2 0.5783 0.5181 0.7218
Te1 0.3093 0.7237 0.9773
Te2 0.1008 0.0311 0.2527
Te3 0.8705 0.2187 0.6054
Te4 0.6260 0.3271 0.0082
Te5 0.3957 0.5147 0.3610
Te6 0.1872 0.8221 0.6363
Nb1 0.8958 0.6697 0.2064
Nb2 0.6007 0.8761 0.4072

=====

Entry 10:
# PBE ThNbTe2, optimized geometry
# crystal system	trigonal
# VASP energy	-6.190	eV per atom
data_ThNbTe2
_cell_length_a 3.5508
_cell_length_b 3.5508
_cell_length_c 10.4973
_cell_angle_alpha 80.26
_cell_angle_beta 80.26
_cell_angle_gamma 60.00
_space_group_name_H-M_alt 'P 1'
_space_group_IT_number 1
loop_
_space_group_symop_operation_xyz
'x,y,z'
loop_
_atom_site_label
_atom_site_fract_x
_atom_site_fract_y
_atom_site_fract_z
Te1 0.1043 0.1043 0.6870
Te2 0.8957 0.8957 0.3130
Th1 0.0000 0.0000 0.0000
Nb1 0.5000 0.5000 0.5000

=====

Entry 11:
# PBE ThNb4Te8, optimized geometry
# crystal system	trigonal
# VASP energy	-6.042	eV per atom
data_ThNb4Te8
_cell_length_a 7.6898
_cell_length_b 7.6894
_cell_length_c 8.7071
_cell_angle_alpha 90.00
_cell_angle_beta 116.19
_cell_angle_gamma 119.99
_space_group_name_H-M_alt 'P 1'
_space_group_IT_number 1
loop_
_space_group_symop_operation_xyz
'x,y,z'
loop_
_atom_site_label
_atom_site_fract_x
_atom_site_fract_y
_atom_site_fract_z
Te1 0.0018 0.7615 0.7633
Te2 0.9981 0.7597 0.2366
Te3 0.4770 0.2385 0.2368
Te4 0.0019 0.2403 0.7634
Te5 0.9982 0.2385 0.2367
Te6 0.4917 0.7458 0.2374
Te7 0.5230 0.7615 0.7632
Te8 0.5083 0.2542 0.7626
Nb1 0.0000 0.5000 0.0000
Nb2 0.0000 0.0000 0.0000
Nb3 0.5000 0.5000 0.0000
Nb4 0.5000 0.0000 0.0000
Th1 0.0000 0.5000 0.5000

=====

Entry 12:
# PBE Ti2NbTe, optimized geometry
# crystal system	trigonal
# VASP energy	-7.222	eV per atom
data_Ti2NbTe
_cell_length_a 3.2987
_cell_length_b 3.2987
_cell_length_c 8.6027
_cell_angle_alpha 78.95
_cell_angle_beta 78.95
_cell_angle_gamma 60.00
_space_group_name_H-M_alt 'P 1'
_space_group_IT_number 1
loop_
_space_group_symop_operation_xyz
'x,y,z'
loop_
_atom_site_label
_atom_site_fract_x
_atom_site_fract_y
_atom_site_fract_z
Nb1 0.4996 0.4996 0.5012
Ti1 0.2482 0.2482 0.2555
Ti2 0.0845 0.0845 0.7465
Te1 0.6677 0.6677 0.9968

=====

Q: VASP energy of number 7 (NbTe)?
A: -6.657 eV per atom

=====

Q: Which value of VASP energy does entry 5 give?
A: -5.941 eV per atom